Entry 1:
The following is a DFT calculation (PBE) of an optimized crystal structure of In2PIr.

## Properties
Space group   I-42d (122)
Energy of formation from the pure elements   0.428 eV per atom
E   -36.07 eV per cell

a = 6.0545 Å, b = 6.0545 Å, c = 7.3477 Å
α = 65.67°, β = 65.67°, γ = 90.00°
With the nearest neighbours (Å) after each atom.
Atoms (fractional coordinates):
P1 0.5000 0.5000 0.0000  4 In 2.59
P2 0.2500 0.7500 0.5000  4 In 2.59
Ir1 0.0000 0.0000 0.0000  4 In 2.63
Ir2 0.7500 0.2500 0.5000  4 In 2.63
In1 0.6199 0.1250 0.2500  2 P 2.59, 2 Ir 2.63
In2 0.1301 0.6250 0.2500  2 P 2.59, 2 Ir 2.63
In3 0.3750 0.3801 0.7500  2 P 2.59, 2 Ir 2.63
In4 0.8750 0.8699 0.7500  2 P 2.59, 2 Ir 2.63

---

Entry 2:
The following is a DFT calculation (PBE) of an optimized crystal structure of InP2Ir.

## Properties
Space group   Immm (71)
Energy of formation from the pure elements   0.177 eV per atom
E   -21.71 eV per cell

a = 5.8592 Å, b = 5.8592 Å, c = 5.8592 Å
α = 151.51°, β = 131.52°, γ = 57.20°
With the nearest neighbours (Å) after each atom.
Atoms (fractional coordinates):
In1 0.7500 0.2500 0.5000  4 Ir 2.80, 2 In 2.88, 4 P 3.13
Ir1 0.2500 0.7500 0.5000  4 P 2.47
P1 0.0548 0.0548 0.0000  2 Ir 2.47
P2 0.4452 0.4452 0.0000  2 Ir 2.47

---

Entry 3:
The following is a DFT calculation (PBE) of an optimized crystal structure of InP2Ir.

## Properties
Space group   C2/m (12)
Energy of formation from the pure elements   0.346 eV per atom
E   -21.04 eV per cell

a = 4.4464 Å, b = 4.4464 Å, c = 4.6048 Å
α = 68.91°, β = 68.91°, γ = 104.97°
With the nearest neighbours (Å) after each atom.
Atoms (fractional coordinates):
In1 0.5000 0.0000 0.5000  4 P 2.56, 2 Ir 2.71
Ir1 0.0000 0.5000 0.5000  4 P 2.56, 2 In 2.71
P1 0.0000 0.0000 0.0000  2 In 2.56, 2 Ir 2.56, 2 P 2.71
P2 0.5000 0.5000 0.0000  2 Ir 2.56, 2 In 2.56, 2 P 2.71

---

Entry 4:
The following is a DFT calculation (PBE) of an optimized crystal structure of InPIr2.

## Properties
Energy above the most stable polymorph in this dataset   0.29 eV per formula unit
Space group   P4/mmm (123)
Energy of formation from the pure elements   -0.057 eV per atom
E   -26.10 eV per cell

a = 2.9411 Å, b = 2.9411 Å, c = 7.1146 Å
α = 90.00°, β = 90.00°, γ = 89.94°
With the nearest neighbours (Å) after each atom.
Atoms (fractional coordinates):
In1 0.5000 0.5000 0.7500  4 In 2.94, 8 Ir 2.95
Ir1 0.0000 0.0000 0.0446  4 P 2.54
Ir2 0.0000 0.0000 0.4554  4 P 2.54
P1 0.5000 0.5000 0.2500  8 Ir 2.54

---

Entry 5:
The following is a DFT calculation (PBE) of an optimized crystal structure of In2PIr.

## Properties
Space group   Pmmm (47)
Energy of formation from the pure elements   0.257 eV per atom
E   -18.72 eV per cell

a = 3.1775 Å, b = 3.7815 Å, c = 6.1238 Å
α = 90.00°, β = 90.00°, γ = 90.00°
With the nearest neighbours (Å) after each atom.
Atoms (fractional coordinates):
In1 0.0000 0.0000 0.0073  4 Ir 2.88, 4 P 2.93, 4 In 2.97-3.18
In2 0.0000 0.0000 0.4927  4 Ir 2.88, 4 P 2.93, 4 In 2.97-3.18
Ir1 0.5000 0.5000 0.2500  8 In 2.88, 2 P 3.06, 2 Ir 3.18
P1 0.5000 0.5000 0.7500  8 In 2.93, 2 Ir 3.06, 2 P 3.18

---

Entry 6:
The following is a DFT calculation (PBE) of an optimized crystal structure of InP2Ir.

## Properties
Space group   I-4m2 (119)
Energy of formation from the pure elements   0.490 eV per atom
E   -20.46 eV per cell

a = 4.8635 Å, b = 4.8635 Å, c = 4.8635 Å
α = 130.00°, β = 130.00°, γ = 73.40°
With the nearest neighbours (Å) after each atom.
Atoms (fractional coordinates):
In1 0.5000 0.5000 0.0000  8 P 2.83-2.91, 4 Ir 2.83
Ir1 0.7500 0.2500 0.5000  4 In 2.83, 8 P 2.83-2.91
P1 0.0000 0.0000 0.0000  4 Ir 2.83, 4 P 2.83, 4 In 2.91
P2 0.2500 0.7500 0.5000  4 P 2.83, 4 In 2.83, 4 Ir 2.91

---

Entry 7:
The following is a DFT calculation (PBE) of an optimized crystal structure of InP2Ir.

## Properties
Space group   I-42d (122)
Energy of formation from the pure elements   -0.128 eV per atom
E   -45.86 eV per cell

a = 5.8047 Å, b = 5.8047 Å, c = 6.6847 Å
α = 64.27°, β = 64.27°, γ = 90.00°
With the nearest neighbours (Å) after each atom.
Atoms (fractional coordinates):
P1 0.6782 0.1250 0.2500  2 Ir 2.27
P2 0.0718 0.6250 0.2500  2 Ir 2.27
P3 0.3750 0.3218 0.7500  2 Ir 2.27
P4 0.8750 0.9282 0.7500  2 Ir 2.27
Ir1 0.0000 0.0000 0.0000  4 P 2.27
Ir2 0.7500 0.2500 0.5000  4 P 2.27
In1 0.5000 0.5000 0.0000  4 P 2.63
In2 0.2500 0.7500 0.5000  4 P 2.63

---

Entry 8:
The following is a DFT calculation (PBE) of an optimized crystal structure of InP2Ir.

## Properties
Space group   P2/m (10)
Energy of formation from the pure elements   -0.196 eV per atom
E   -23.20 eV per cell

a = 3.8548 Å, b = 4.5571 Å, c = 4.9225 Å
α = 68.27°, β = 90.00°, γ = 90.00°
With the nearest neighbours (Å) after each atom.
Atoms (fractional coordinates):
In1 0.5000 0.2500 0.2500  2 Ir 2.66
Ir1 0.5000 0.7500 0.7500  4 P 2.36
P1 0.0000 0.9942 0.8488  1 P 2.17, 2 Ir 2.36
P2 0.0000 0.5058 0.6512  1 P 2.17, 2 Ir 2.36

---

Entry 9:
The following is a DFT calculation (PBE) of an optimized crystal structure of InP2Ir.

## Properties
Space group   R-3m (166)
Energy of formation from the pure elements   -0.124 eV per atom
E   -22.91 eV per cell

a = 6.6133 Å, b = 6.6133 Å, c = 6.6133 Å
α = 32.75°, β = 32.75°, γ = 32.75°
With the nearest neighbours (Å) after each atom.
Atoms (fractional coordinates):
In1 0.2500 0.2500 0.2500  6 P 2.95
Ir1 0.7500 0.7500 0.7500  6 P 2.42
P1 0.0245 0.0245 0.0245  3 Ir 2.42
P2 0.4755 0.4755 0.4755  3 Ir 2.42

---

Entry 10:
The following is a DFT calculation (PBE) of an optimized crystal structure of InPIr2.

## Properties
Energy above the most stable polymorph in this dataset   0.22 eV per formula unit
Space group   Pmmm (47)
Energy of formation from the pure elements   -0.075 eV per atom
E   -26.17 eV per cell

a = 3.4790 Å, b = 3.8062 Å, c = 5.5774 Å
α = 90.02°, β = 90.00°, γ = 90.00°
With the nearest neighbours (Å) after each atom.
Atoms (fractional coordinates):
In1 0.5000 0.7500 0.7500  8 Ir 2.92
Ir1 0.0000 0.2502 0.9942  2 P 2.25
Ir2 0.0000 0.2498 0.5058  2 P 2.25
P1 0.5000 0.2500 0.2500  4 Ir 2.25

---

Entry 11:
The following is a DFT calculation (PBE) of an optimized crystal structure of InPIr2.

## Properties
Energy above the most stable polymorph in this dataset   1.96 eV per formula unit
Space group   Pmmm (47)
Energy of formation from the pure elements   0.361 eV per atom
E   -24.43 eV per cell

a = 2.9214 Å, b = 4.9916 Å, c = 4.4414 Å
α = 90.00°, β = 90.00°, γ = 90.00°
With the nearest neighbours (Å) after each atom.
Atoms (fractional coordinates):
In1 0.0000 0.5000 0.5000  4 Ir 2.66, 4 P 2.89, 2 In 2.92
Ir1 0.0000 0.0000 0.0000  4 P 2.66, 6 Ir 2.89-2.92
Ir2 0.5000 0.5000 0.0000  4 In 2.66, 6 Ir 2.89-2.92
P1 0.5000 0.0000 0.5000  4 Ir 2.66, 4 In 2.89, 2 P 2.92

---

Entry 12:
The following is a DFT calculation (PBE) of an optimized crystal structure of InP2Ir.

## Properties
Space group   P4mm (99)
Energy of formation from the pure elements   0.101 eV per atom
E   -22.02 eV per cell

a = 3.4802 Å, b = 3.4835 Å, c = 6.2861 Å
α = 90.00°, β = 90.00°, γ = 90.00°
With the nearest neighbours (Å) after each atom.
Atoms (fractional coordinates):
In1 0.0000 0.0000 0.4462  5 P 2.57-2.68
Ir1 0.5000 0.5000 0.9205  5 P 2.25-2.50
P1 0.0000 0.0000 0.8554  4 Ir 2.50, 1 In 2.57
P2 0.5000 0.5000 0.2779  1 Ir 2.25